ErSi2Pt2 | Alexandria via LeMat-Bulk | GGA-PBEsol | relaxed; calculated density = 12.3 Mg/m³; SG = I4/mmm, No. 139; uncorrected formation energy = -1.063 eV/atom; V = 16.5 Å³ per atom
1.0
-0.212 -0.868 -3.991
4.046 -0.588 -0.087
-2.587 -4.047 3.113
Pt Si Er
2 2 1
direct
0.750 0.250 0.500
0.250 0.750 0.500
0.384 0.384 0.769
0.616 0.616 0.231
0.000 0.000 0.000



ErSnPt2 | Alexandria via LeMat-Bulk | GGA-PBEsol | relaxed; ΔH_f (0 K) = -1024 meV per atom; calculated density = 14.5 Mg/m³; SG = P6_3/mmc, No. 194; V = 19.4 Å³ per atom
1.0
4.489 0.000 0.000
-2.244 3.887 0.000
0.000 0.000 8.877
Sn Pt Er
2 4 2
direct
0.000 0.000 0.500
0.000 0.000 0.000
0.667 0.333 0.089
0.333 0.667 0.911
0.333 0.667 0.589
0.667 0.333 0.411
0.667 0.333 0.750
0.333 0.667 0.250



- Among the records above, which one has the lowest V?
  ErSi2Pt2